(1)
# PBE TbHo6, optimized geometry
# - formation energy from the elements (eV/atom) = 1.512
# - M_tot (μB per formula unit) = 0.0
# - raw total energy (eV/cell) = -21.52
data_TbHo6
_chemical_formula_sum 'Tb1 Ho6'
_space_group_name_H-M_alt 'P 1'
_space_group_IT_number 1
_space_group_name_Hall 'P 1'
_cell_length_a 6.9232
_cell_length_b 6.9232
_cell_length_c 6.9232
_cell_angle_alpha 109.47
_cell_angle_beta 109.47
_cell_angle_gamma 109.47
loop_
_atom_site_label
_atom_site_type_symbol
_atom_site_fract_x
_atom_site_fract_y
_atom_site_fract_z
Ho1 Ho 0.7500 0.2500 0.5000
Ho2 Ho 0.7500 0.5000 0.2500
Ho3 Ho 0.2500 0.7500 0.5000
Tb1 Tb 0.0000 0.0000 0.0000
Ho4 Ho 0.2500 0.5000 0.7500
Ho5 Ho 0.5000 0.2500 0.7500
Ho6 Ho 0.5000 0.7500 0.2500



(2)
# PBE Tb3Pr6Th, optimized geometry
# - formation energy from the elements (eV/atom) = 0.205
# - M_tot (μB per formula unit) = 0.0
# - raw total energy (eV/cell) = -95.87
data_Tb3Pr6Th
_chemical_formula_sum 'Tb6 Pr12 Th2'
_space_group_name_H-M_alt 'P 1'
_space_group_IT_number 1
_space_group_name_Hall 'P 1'
_cell_length_a 5.1274
_cell_length_b 11.0034
_cell_length_c 13.7387
_cell_angle_alpha 90.00
_cell_angle_beta 111.57
_cell_angle_gamma 90.00
loop_
_atom_site_label
_atom_site_type_symbol
_atom_site_fract_x
_atom_site_fract_y
_atom_site_fract_z
Pr1 Pr 0.7238 0.0132 0.7208
Pr2 Pr 0.9940 0.3055 0.9938
Pr3 Pr 0.8600 0.6686 0.3572
Tb1 Tb 0.5000 0.5000 0.0000
Tb2 Tb 0.6249 0.8404 0.1273
Tb3 Tb 0.0000 0.0000 0.5000
Pr4 Pr 0.5060 0.8055 0.5062
Pr5 Pr 0.6400 0.1686 0.1428
Tb4 Tb 0.3751 0.1596 0.8727
Pr6 Pr 0.3600 0.8314 0.8572
Pr7 Pr 0.1400 0.3314 0.6428
Pr8 Pr 0.2238 0.4868 0.2208
Tb5 Tb 0.1249 0.6596 0.6273
Tb6 Tb 0.8751 0.3404 0.3727
Th1 Th 0.0000 0.0000 0.0000
Th2 Th 0.5000 0.5000 0.5000
Pr9 Pr 0.7762 0.5132 0.7792
Pr10 Pr 0.4940 0.1945 0.4938
Pr11 Pr 0.0060 0.6945 0.0062
Pr12 Pr 0.2762 0.9868 0.2792



(3)
# PBE LiLa2VC, optimized geometry
# - formation energy from the elements (eV/atom) = 0.059
# - M_tot (μB per formula unit) = 1.7
# - raw total energy (eV/cell) = -29.82
data_LiLa2VC
_chemical_formula_sum 'Li1 La2 V1 C1'
_space_group_name_H-M_alt 'P 1'
_space_group_IT_number 1
_space_group_name_Hall 'P 1'
_cell_length_a 5.4059
_cell_length_b 5.4059
_cell_length_c 4.0098
_cell_angle_alpha 90.00
_cell_angle_beta 90.00
_cell_angle_gamma 90.00
loop_
_atom_site_label
_atom_site_type_symbol
_atom_site_fract_x
_atom_site_fract_y
_atom_site_fract_z
V1 V 0.0000 0.0000 0.5000
La1 La 0.5000 0.0000 0.0000
La2 La 0.0000 0.5000 0.0000
C1 C 0.0000 0.0000 0.0000
Li1 Li 0.5000 0.5000 0.5000



(4)
# PBE LaV2TeMo, optimized geometry
# - M_tot (μB per formula unit) = 6.9
# - E_form (uncorrected) (eV/atom) = 1.44
# - raw total energy (eV/cell) = -29.96
data_LaV2TeMo
_chemical_formula_sum 'La1 V2 Te1 Mo1'
_space_group_name_H-M_alt 'P 1'
_space_group_IT_number 1
_space_group_name_Hall 'P 1'
_cell_length_a 4.8896
_cell_length_b 5.8873
_cell_length_c 4.8896
_cell_angle_alpha 90.00
_cell_angle_beta 90.00
_cell_angle_gamma 90.00
loop_
_atom_site_label
_atom_site_type_symbol
_atom_site_fract_x
_atom_site_fract_y
_atom_site_fract_z
V1 V 0.0000 0.0000 0.5000
V2 V 0.5000 0.0000 0.0000
Mo1 Mo 0.5000 0.5000 0.5000
La1 La 0.0000 0.5000 0.0000
Te1 Te 0.0000 0.0000 0.0000